[1]
{"formula": "Al2HgAu9", "functional": "PBE-GGA", "state": "relaxed", "cell": [[9.146, 0.000, 0.000], [-4.573, 7.920, 0.000], [0.000, 0.000, 3.014]], "species": ["Al", "Al", "Hg", "Au", "Au", "Au", "Au", "Au", "Au", "Au", "Au", "Au"], "frac_coords": [[0.333, 0.667, 0.000], [0.667, 0.333, 0.000], [0.000, 0.000, 0.000], [0.000, 0.500, 0.000], [0.184, 0.369, 0.500], [0.184, 0.816, 0.500], [0.369, 0.184, 0.500], [0.500, 0.000, 0.000], [0.500, 0.500, 0.000], [0.631, 0.816, 0.500], [0.816, 0.184, 0.500], [0.816, 0.631, 0.500]], "dos_at_fermi_per_ev_cell": 2.98, "ef_ev_per_fu": -1.3, "spacegroup": "P6/mmm, No. 191"}


[2]
{"formula": "DyPuU2As4", "functional": "PBE-GGA", "state": "relaxed", "cell": [[7.095, 0.000, 0.000], [0.000, 4.075, 0.000], [-2.344, 0.000, 6.744]], "species": ["Dy", "Pu", "U", "U", "As", "As", "As", "As"], "frac_coords": [[0.000, 0.000, 0.000], [0.500, 0.500, 0.000], [0.000, 0.500, 0.500], [0.500, 0.000, 0.500], [0.249, 0.000, 0.746], [0.250, 0.500, 0.254], [0.750, 0.500, 0.746], [0.751, 0.000, 0.254]], "dos_at_fermi_per_ev_cell": 21.90, "ef_ev_per_fu": -7.9, "spacegroup": "P2/m, No. 10"}


[3]
{"formula": "YCo2Si", "functional": "PBE-GGA", "state": "relaxed", "cell": [[3.778, 0.000, 0.000], [0.000, 3.778, 0.000], [0.000, 0.000, 8.925]], "species": ["Y", "Y", "Co", "Co", "Co", "Co", "Si", "Si"], "frac_coords": [[0.250, 0.250, 0.218], [0.750, 0.750, 0.782], [0.250, 0.250, 0.905], [0.250, 0.750, 0.500], [0.750, 0.250, 0.500], [0.750, 0.750, 0.095], [0.250, 0.250, 0.643], [0.750, 0.750, 0.357]], "dos_at_fermi_per_ev_cell": 8.16, "final_energy_ev_per_atom": -6.92, "spacegroup": "P4/nmm, No. 129"}